Mg2Zr2Sc7: relaxed, PBE-GGA.

Lattice parameters (Å, degrees): 7.345 7.345 5.307 104.79 104.79 92.62
Element x y z (fractional)
1 Mg 0.224 0.224 0.082
2 Mg 0.776 0.776 0.918
3 Zr 0.207 0.793 0.000
4 Zr 0.793 0.207 0.000
5 Sc 0.000 0.000 0.500
6 Sc 0.080 0.588 0.324
7 Sc 0.402 0.402 0.700
8 Sc 0.412 0.920 0.676
9 Sc 0.588 0.080 0.324
10 Sc 0.598 0.598 0.300
11 Sc 0.920 0.412 0.676

Results
Formation energy from the elements, meV per atom: 173
Crystal system: monoclinic
SG: C2/m, No. 12
Total magnetic moment, Bohr magnetons per cell: 0.0

LuV2W: relaxed, PBE-GGA.

Lattice parameters (Å, degrees): 3.065 3.065 26.243 90.00 90.00 120.00
Element x y z (fractional)
1 Lu 0.000 0.000 0.000
2 Lu 0.333 0.667 0.667
3 Lu 0.667 0.333 0.333
4 V 0.000 0.000 0.238
5 V 0.000 0.000 0.762
6 V 0.333 0.667 0.429
7 V 0.333 0.667 0.904
8 V 0.667 0.333 0.096
9 V 0.667 0.333 0.571
10 W 0.000 0.000 0.500
11 W 0.333 0.667 0.167
12 W 0.667 0.333 0.833

Results
Formation energy from the elements, meV per atom: 467
Crystal system: trigonal
Excess energy over the best structure of this formula in the dataset, eV per atom: 0.244
SG: R-3m, No. 166
Total magnetic moment, Bohr magnetons per cell: 0.0

SrC2Br: relaxed, PBE-GGA.

Lattice parameters (Å, degrees): 6.326 6.326 7.281 90.00 90.00 90.00
Element x y z (fractional)
1 Sr 0.000 0.000 0.000
2 Sr 0.000 0.500 0.250
3 Sr 0.500 0.000 0.750
4 Sr 0.500 0.500 0.500
5 C 0.173 0.250 0.625
6 C 0.250 0.673 0.875
7 C 0.250 0.827 0.375
8 C 0.327 0.250 0.125
9 C 0.673 0.750 0.125
10 C 0.750 0.173 0.375
11 C 0.750 0.327 0.875
12 C 0.827 0.750 0.625
13 Br 0.000 0.000 0.500
14 Br 0.000 0.500 0.750
15 Br 0.500 0.000 0.250
16 Br 0.500 0.500 0.000

Results
Formation energy from raw total energies, meV per atom: 1901
Crystal system: tetragonal
Excess energy over the best structure of this formula in the dataset, eV per atom: 0.000
SG: I-42d, No. 122
Total magnetic moment, Bohr magnetons per cell: 2.1

La2Sm7Sc2: relaxed, PBE-GGA.

Lattice parameters (Å, degrees): 10.793 10.793 10.793 160.52 65.85 117.79
Element x y z (fractional)
1 La 0.000 0.000 0.000
2 La 0.646 0.146 0.500
3 Sm 0.035 0.865 0.170
4 Sm 0.215 0.372 0.843
5 Sm 0.304 0.804 0.500
6 Sm 0.407 0.114 0.292
7 Sm 0.528 0.372 0.157
8 Sm 0.695 0.865 0.830
9 Sm 0.822 0.114 0.708
10 Sc 0.260 0.619 0.641
11 Sc 0.978 0.619 0.359

Results
Formation energy from the elements, meV per atom: 129
Crystal system: orthorhombic
Excess energy over the best structure of this formula in the dataset, eV per atom: 0.000
SG: Imm2, No. 44
Total magnetic moment, Bohr magnetons per cell: 0.2

Ti2P2W: relaxed, PBE-GGA.

Lattice parameters (Å, degrees): 6.434 6.434 3.435 90.00 90.00 90.00
Element x y z (fractional)
1 Ti 0.159 0.341 0.000
2 Ti 0.341 0.841 0.000
3 Ti 0.659 0.159 0.000
4 Ti 0.841 0.659 0.000
5 P 0.141 0.641 0.500
6 P 0.359 0.141 0.500
7 P 0.641 0.859 0.500
8 P 0.859 0.359 0.500
9 W 0.000 0.000 0.500
10 W 0.500 0.500 0.500

Results
Formation energy from the elements, meV per atom: -861
Crystal system: tetragonal
SG: P4/mbm, No. 127
Total magnetic moment, Bohr magnetons per cell: 0.0

CsNdTeO4: relaxed, PBE-GGA.

Lattice parameters (Å, degrees): 6.034 6.325 8.433 90.00 105.92 90.00
Element x y z (fractional)
1 Cs 0.107 0.250 0.137
2 Cs 0.893 0.750 0.863
3 Nd 0.174 0.750 0.467
4 Nd 0.826 0.250 0.533
5 Te 0.398 0.250 0.731
6 Te 0.602 0.750 0.269
7 O 0.162 0.016 0.663
8 O 0.162 0.484 0.663
9 O 0.249 0.750 0.209
10 O 0.419 0.250 0.507
11 O 0.581 0.750 0.493
12 O 0.751 0.250 0.791
13 O 0.838 0.516 0.337
14 O 0.838 0.984 0.337

Results
Formation energy from raw total energies, meV per atom: -1999
Crystal system: monoclinic
SG: P2_1/m, No. 11
Total magnetic moment, Bohr magnetons per cell: 0.0

ZrScTiAl: relaxed, PBE-GGA.

Lattice parameters (Å, degrees): 4.200 4.200 8.911 90.00 90.00 90.00
Element x y z (fractional)
1 Zr 0.250 0.250 0.236
2 Zr 0.750 0.750 0.764
3 Sc 0.250 0.750 0.500
4 Sc 0.750 0.250 0.500
5 Ti 0.250 0.750 0.000
6 Ti 0.750 0.250 0.000
7 Al 0.250 0.250 0.769
8 Al 0.750 0.750 0.231

Results
Formation energy from the elements, meV per atom: -231
Crystal system: tetragonal
SG: P4/nmm, No. 129
Total magnetic moment, Bohr magnetons per cell: 0.0

Pr3Y2ThTe6: relaxed, PBE-GGA.

Lattice parameters (Å, degrees): 9.951 9.951 9.009 101.95 101.95 25.72
Element x y z (fractional)
1 Pr 0.000 0.000 0.000
2 Pr 0.339 0.339 0.665
3 Pr 0.661 0.661 0.335
4 Y 0.335 0.335 0.168
5 Y 0.665 0.665 0.832
6 Th 0.000 0.000 0.500
7 Te 0.169 0.169 0.596
8 Te 0.171 0.171 0.078
9 Te 0.495 0.495 0.248
10 Te 0.505 0.505 0.752
11 Te 0.829 0.829 0.922
12 Te 0.831 0.831 0.404

Results
Formation energy from raw total energies, meV per atom: -1323
Crystal system: monoclinic
SG: C2/m, No. 12
Total magnetic moment, Bohr magnetons per cell: 0.0

CaAc2Ga: relaxed, PBE-GGA.

Lattice parameters (Å, degrees): 3.837 3.837 38.826 90.00 90.00 120.00
Element x y z (fractional)
1 Ca 0.000 0.000 0.000
2 Ca 0.333 0.667 0.667
3 Ca 0.667 0.333 0.333
4 Ac 0.000 0.000 0.416
5 Ac 0.000 0.000 0.584
6 Ac 0.333 0.667 0.083
7 Ac 0.333 0.667 0.250
8 Ac 0.667 0.333 0.750
9 Ac 0.667 0.333 0.917
10 Ga 0.000 0.000 0.500
11 Ga 0.333 0.667 0.167
12 Ga 0.667 0.333 0.833

Results
Formation energy from the elements, meV per atom: 261
Crystal system: trigonal
Excess energy over the best structure of this formula in the dataset, eV per atom: 0.473
SG: R-3m, No. 166
Total magnetic moment, Bohr magnetons per cell: 0.0

CsPmAs2Pd4: relaxed, PBE-GGA.

Lattice parameters (Å, degrees): 4.183 4.183 11.530 90.00 90.00 90.00
Element x y z (fractional)
1 Cs 0.000 0.000 0.000
2 Pm 0.000 0.000 0.500
3 As 0.500 0.500 0.205
4 As 0.500 0.500 0.795
5 Pd 0.000 0.500 0.317
6 Pd 0.000 0.500 0.683
7 Pd 0.500 0.000 0.317
8 Pd 0.500 0.000 0.683

Results
Formation energy from the elements, meV per atom: -528
Crystal system: tetragonal
SG: P4/mmm, No. 123
Total magnetic moment, Bohr magnetons per cell: 0.0

CaSi2Ru: relaxed, PBE-GGA.

Lattice parameters (Å, degrees): 6.334 6.334 6.334 90.00 90.00 90.00
Element x y z (fractional)
1 Ca 0.000 0.000 0.000
2 Ca 0.000 0.500 0.500
3 Ca 0.500 0.000 0.500
4 Ca 0.500 0.500 0.000
5 Si 0.250 0.250 0.250
6 Si 0.250 0.250 0.750
7 Si 0.250 0.750 0.250
8 Si 0.250 0.750 0.750
9 Si 0.750 0.250 0.250
10 Si 0.750 0.250 0.750
11 Si 0.750 0.750 0.250
12 Si 0.750 0.750 0.750
13 Ru 0.000 0.000 0.500
14 Ru 0.000 0.500 0.000
15 Ru 0.500 0.000 0.000
16 Ru 0.500 0.500 0.500

Results
Formation energy from raw total energies, meV per atom: -149
Crystal system: cubic
SG: Fm-3m, No. 225
Total magnetic moment, Bohr magnetons per cell: 0.0

IrRhIN2: relaxed, PBE-GGA.

Lattice parameters (Å, degrees): 3.740 3.740 8.503 90.00 90.00 90.00
Element x y z (fractional)
1 Ir 0.000 0.000 0.000
2 Rh 0.500 0.500 0.500
3 I 0.000 0.000 0.500
4 N 0.000 0.500 0.000
5 N 0.500 0.000 0.000

Results
Formation energy from raw total energies, meV per atom: 1030
Crystal system: tetragonal
Excess energy over the best structure of this formula in the dataset, eV per atom: 0.000
SG: P4/mmm, No. 123
Total magnetic moment, Bohr magnetons per cell: 0.3

Th2AlSiRu6: relaxed, PBE-GGA.

Lattice parameters (Å, degrees): 6.375 6.375 6.375 60.00 60.00 60.00
Element x y z (fractional)
1 Th 0.250 0.250 0.250
2 Th 0.750 0.750 0.750
3 Al 0.000 0.000 0.000
4 Si 0.500 0.500 0.500
5 Ru 0.254 0.254 0.746
6 Ru 0.254 0.746 0.254
7 Ru 0.254 0.746 0.746
8 Ru 0.746 0.254 0.254
9 Ru 0.746 0.254 0.746
10 Ru 0.746 0.746 0.254

Results
Formation energy from raw total energies, meV per atom: -132
Crystal system: cubic
SG: Fm-3m, No. 225
Total magnetic moment, Bohr magnetons per cell: 0.0

AlGaTc: relaxed, PBE-GGA.

Lattice parameters (Å, degrees): 4.770 4.770 5.016 103.58 103.72 119.35
Element x y z (fractional)
1 Al 0.050 0.450 0.250
2 Al 0.950 0.550 0.750
3 Ga 0.288 0.212 0.750
4 Ga 0.712 0.788 0.250
5 Tc 0.382 0.117 0.250
6 Tc 0.618 0.883 0.750

Results
Formation energy from the elements, meV per atom: -327
Crystal system: triclinic
Excess energy over the best structure of this formula in the dataset, eV per atom: 0.011
SG: P-1, No. 2
Total magnetic moment, Bohr magnetons per cell: 0.0

CaAcY2Te4: relaxed, PBE-GGA.

Lattice parameters (Å, degrees): 7.807 4.457 7.815 90.00 108.93 90.00
Element x y z (fractional)
1 Ca 0.000 0.000 0.000
2 Ac 0.500 0.500 0.000
3 Y 0.000 0.500 0.500
4 Y 0.500 0.000 0.500
5 Te 0.235 0.000 0.732
6 Te 0.245 0.500 0.262
7 Te 0.755 0.500 0.738
8 Te 0.765 0.000 0.268

Results
Formation energy from raw total energies, meV per atom: -1420
Crystal system: monoclinic
SG: P2/m, No. 10
Total magnetic moment, Bohr magnetons per cell: 0.0

MgPbAu2: relaxed, PBE-GGA.

Lattice parameters (Å, degrees): 3.571 4.369 5.980 90.00 106.55 90.00
Element x y z (fractional)
1 Mg 0.000 0.000 0.000
2 Pb 0.713 0.500 0.410
3 Au 0.296 0.000 0.587
4 Au 0.456 0.500 0.910

Results
Formation energy from the elements, meV per atom: -266
Crystal system: monoclinic
SG: Pm, No. 6
Total magnetic moment, Bohr magnetons per cell: 0.0

Sr3MgTl3: relaxed, PBE-GGA.

Lattice parameters (Å, degrees): 6.801 6.801 16.816 108.75 108.75 41.77
Element x y z (fractional)
1 Sr 0.021 0.021 0.383
2 Sr 0.105 0.105 0.920
3 Sr 0.240 0.240 0.229
4 Sr 0.760 0.760 0.771
5 Sr 0.895 0.895 0.080
6 Sr 0.979 0.979 0.617
7 Mg 0.264 0.264 0.593
8 Mg 0.736 0.736 0.407
9 Tl 0.368 0.368 0.453
10 Tl 0.384 0.384 0.924
11 Tl 0.469 0.469 0.762
12 Tl 0.531 0.531 0.238
13 Tl 0.616 0.616 0.076
14 Tl 0.632 0.632 0.547

Results
Formation energy from the elements, meV per atom: -337
Crystal system: monoclinic
SG: C2/m, No. 12
Total magnetic moment, Bohr magnetons per cell: 0.0

HfCoCuNi: relaxed, PBE-GGA.

Lattice parameters (Å, degrees): 3.498 3.788 3.978 90.00 90.00 90.00
Element x y z (fractional)
1 Hf 0.000 0.000 0.000
2 Co 0.500 0.500 0.000
3 Cu 0.000 0.500 0.500
4 Ni 0.500 0.000 0.500

Results
Formation energy from the elements, meV per atom: -312
Crystal system: orthorhombic
Excess energy over the best structure of this formula in the dataset, eV per atom: 0.000
SG: Pmmm, No. 47
Total magnetic moment, Bohr magnetons per cell: 0.0

Zr6Ti12O: relaxed, PBE-GGA.

Lattice parameters (Å, degrees): 7.178 7.178 7.178 79.36 79.36 79.36
Element x y z (fractional)
1 Zr 0.139 0.139 0.480
2 Zr 0.139 0.480 0.139
3 Zr 0.480 0.139 0.139
4 Zr 0.520 0.861 0.861
5 Zr 0.861 0.520 0.861
6 Zr 0.861 0.861 0.520
7 Ti 0.132 0.808 0.808
8 Ti 0.192 0.192 0.868
9 Ti 0.192 0.868 0.192
10 Ti 0.203 0.532 0.532
11 Ti 0.468 0.468 0.797
12 Ti 0.468 0.797 0.468
13 Ti 0.532 0.203 0.532
14 Ti 0.532 0.532 0.203
15 Ti 0.797 0.468 0.468
16 Ti 0.808 0.132 0.808
17 Ti 0.808 0.808 0.132
18 Ti 0.868 0.192 0.192
19 O 0.000 0.000 0.000

Results
Formation energy from raw total energies, meV per atom: -246
Crystal system: trigonal
SG: R-3m, No. 166
Total magnetic moment, Bohr magnetons per cell: 0.0

LaYSc2: relaxed, PBE-GGA.

Lattice parameters (Å, degrees): 5.861 3.493 5.977 90.00 109.23 90.00
Element x y z (fractional)
1 La 0.000 0.000 0.000
2 Y 0.000 0.500 0.500
3 Sc 0.500 0.000 0.500
4 Sc 0.500 0.500 0.000

Results
Formation energy from the elements, meV per atom: 72
Crystal system: monoclinic
Excess energy over the best structure of this formula in the dataset, eV per atom: 0.020
SG: P2/m, No. 10
Total magnetic moment, Bohr magnetons per cell: 0.0

Pm15TlIn4: relaxed, PBE-GGA.

Lattice parameters (Å, degrees): 4.951 4.951 24.880 90.00 90.00 90.00
Element x y z (fractional)
1 Pm 0.000 0.000 0.000
2 Pm 0.000 0.000 0.200
3 Pm 0.000 0.000 0.400
4 Pm 0.000 0.000 0.600
5 Pm 0.000 0.000 0.800
6 Pm 0.000 0.500 0.101
7 Pm 0.000 0.500 0.300
8 Pm 0.000 0.500 0.500
9 Pm 0.000 0.500 0.700
10 Pm 0.000 0.500 0.899
11 Pm 0.500 0.000 0.101
12 Pm 0.500 0.000 0.300
13 Pm 0.500 0.000 0.500
14 Pm 0.500 0.000 0.700
15 Pm 0.500 0.000 0.899
16 Tl 0.500 0.500 0.000
17 In 0.500 0.500 0.200
18 In 0.500 0.500 0.400
19 In 0.500 0.500 0.600
20 In 0.500 0.500 0.800

Results
Formation energy from the elements, meV per atom: -260
Crystal system: tetragonal
SG: P4/mmm, No. 123
Total magnetic moment, Bohr magnetons per cell: 0.0

Zr2CrP: relaxed, PBE-GGA.

Lattice parameters (Å, degrees): 9.859 3.218 4.546 90.00 105.48 90.00
Element x y z (fractional)
1 Zr 0.000 0.000 0.000
2 Zr 0.226 0.000 0.677
3 Zr 0.500 0.500 0.000
4 Zr 0.726 0.500 0.677
5 Cr 0.423 0.000 0.420
6 Cr 0.923 0.500 0.420
7 P 0.256 0.500 0.182
8 P 0.756 0.000 0.182

Results
Formation energy from the elements, meV per atom: -329
Crystal system: monoclinic
SG: Cm, No. 8
Total magnetic moment, Bohr magnetons per cell: 0.0

Rb2NpCuS6: relaxed, PBE-GGA.

Lattice parameters (Å, degrees): 7.016 7.016 7.016 60.00 60.00 60.00
Element x y z (fractional)
1 Rb 0.250 0.250 0.250
2 Rb 0.750 0.750 0.750
3 Np 0.000 0.000 0.000
4 Cu 0.500 0.500 0.500
5 S 0.251 0.251 0.749
6 S 0.251 0.749 0.251
7 S 0.251 0.749 0.749
8 S 0.749 0.251 0.251
9 S 0.749 0.251 0.749
10 S 0.749 0.749 0.251

Results
Formation energy from raw total energies, meV per atom: -640
Crystal system: cubic
SG: Fm-3m, No. 225
Total magnetic moment, Bohr magnetons per cell: 0.0

ZrSc2Cu2: relaxed, PBE-GGA.

Lattice parameters (Å, degrees): 7.794 7.794 3.034 90.00 90.00 90.00
Element x y z (fractional)
1 Zr 0.000 0.000 0.000
2 Zr 0.500 0.500 0.000
3 Sc 0.143 0.357 0.000
4 Sc 0.357 0.857 0.000
5 Sc 0.643 0.143 0.000
6 Sc 0.857 0.643 0.000
7 Cu 0.154 0.654 0.500
8 Cu 0.346 0.154 0.500
9 Cu 0.654 0.846 0.500
10 Cu 0.846 0.346 0.500

Results
Formation energy from the elements, meV per atom: -44
Crystal system: tetragonal
Excess energy over the best structure of this formula in the dataset, eV per atom: 0.102
SG: P4/mbm, No. 127
Total magnetic moment, Bohr magnetons per cell: 1.9